A relaxed structure of Ca2SbTe, computed with PBE.

Its crystal system is orthorhombic. The spin magnetization is 0.000 μB per atom. The total energy comes out at -3.7938 eV/atom. As for the uncorrected formation energy: -977 meV per atom.

The space group is Imm2 (No. 44) and the conventional cell measures 4.478, 4.484 and 11.921 Å, with angles of 90.00, 90.00 and 90.00 degrees. Symmetry generates all atoms from Ca at (0.000, 0.000, 0.000), Ca at (0.000, 0.500, 0.250), Sb at (0.000, 0.500, 0.752) and Te at (0.000, 0.000, 0.502).